[1]
# BaAgSb2Te

BaAgSb2Te after structural relaxation (PBE, Alexandria).

Calculated values
Calculated total energy (eV for the cell shown): -11.69
ΔE_f (raw) (meV/atom): 895
Excess energy over the best structure of this formula in the dataset (meV/atom): 1117

Cell: 6.3618 6.3618 6.3800 Å, 90.00 90.00 90.00°
Space group P4/mmm (No. 123)
Symmetry-distinct sites (fractional):
Ba (0.0000, 0.0000, 0.0000) [1 per cell]
Ag (0.5000, 0.5000, 0.5000) [1 per cell]
Sb (0.0000, 0.5000, 0.0000) [2 per cell]
Te (0.0000, 0.0000, 0.5000) [1 per cell]

***

[2]
# SmTmCuSi

SmTmCuSi after structural relaxation (PBE, Alexandria).

Calculated values
Calculated total energy (eV for the cell shown): -81.34
ΔE_f (raw) (meV/atom): -406
Excess energy over the best structure of this formula in the dataset (meV/atom): 104

Cell: 7.0063 7.0063 7.0063 Å, 90.00 90.00 90.00°
Space group F-43m (No. 216)
Symmetry-distinct sites (fractional):
Sm (0.0000, 0.0000, 0.0000) [4 per cell]
Tm (0.0000, 0.0000, 0.5000) [4 per cell]
Cu (0.2500, 0.2500, 0.7500) [4 per cell]
Si (0.2500, 0.2500, 0.2500) [4 per cell]

***

[3]
# LaH3Pt

LaH3Pt after structural relaxation (PBE, Alexandria).

Calculated values
Calculated total energy (eV for the cell shown): -192.47

Cell: 7.8987 10.0005 6.5701 Å, 90.00 109.01 90.00°
Space group C2/c (No. 15)
Symmetry-distinct sites (fractional):
La (0.0000, 0.0793, 0.2500) [4 per cell]
La (0.0000, 0.3502, 0.7500) [4 per cell]
H (0.0824, 0.1337, 0.6268) [8 per cell]
H (0.1766, 0.2432, 0.1190) [8 per cell]
H (0.1861, 0.4741, 0.5037) [8 per cell]
Pt (0.1859, 0.3600, 0.3146) [8 per cell]

***

[4]
# Rb2GeP

Rb2GeP after structural relaxation (PBE, Alexandria).

Calculated values
Calculated total energy (eV for the cell shown): -25.82
ΔE_f (eV/atom): -0.237
Excess energy over the best structure of this formula in the dataset (meV/atom): 0

Cell: 12.1581 5.7755 3.8140 Å, 90.00 108.17 90.00°
Space group Cm (No. 8)
Symmetry-distinct sites (fractional):
Rb (0.0000, 0.0000, 0.0000) [2 per cell]
Rb (0.1935, 0.5000, 0.1968) [2 per cell]
Ge (0.4019, 0.0000, 0.4026) [2 per cell]
P (0.2753, 0.0000, 0.7768) [2 per cell]

***

[5]
# Ac2ZnCo2

Ac2ZnCo2 after structural relaxation (PBE, Alexandria).

Calculated values
Calculated total energy (eV for the cell shown): -71.69
ΔE_f (eV/atom): -0.039

Cell: 4.2054 4.2054 26.2214 Å, 90.00 90.00 120.00°
Space group R-3m (No. 166, hexagonal axes)
Symmetry-distinct sites (fractional):
Ac (0.0000, 0.0000, 0.0782) [6 per cell]
Zn (0.0000, 0.0000, 0.5000) [3 per cell]
Co (0.0000, 0.0000, 0.1846) [6 per cell]

***

[6]
# ScTeBr

ScTeBr after structural relaxation (PBE, Alexandria).

Calculated values
Calculated total energy (eV for the cell shown): -57.85
ΔE_f (raw) (meV/atom): -1106

Cell: 4.3707 5.6475 15.0322 Å, 90.00 90.00 90.00°
Space group Fmm2 (No. 42)
Symmetry-distinct sites (fractional):
Sc (0.0000, 0.0000, 0.0000) [4 per cell]
Te (0.0000, 0.0000, 0.3812) [4 per cell]
Br (0.0000, 0.0000, 0.6205) [4 per cell]

***

[7]
# Tc4AgHg

Tc4AgHg after structural relaxation (PBE, Alexandria).

Calculated values
Calculated total energy (eV for the cell shown): -163.29
ΔE_f (eV/atom): 0.633

Cell: 7.3803 7.3803 7.3803 Å, 90.00 90.00 90.00°
Space group F-43m (No. 216)
Symmetry-distinct sites (fractional):
Tc (0.1247, 0.1247, 0.1247) [16 per cell]
Ag (0.2500, 0.2500, 0.7500) [4 per cell]
Hg (0.0000, 0.0000, 0.5000) [4 per cell]

***

[8]
# ScSbIr2

ScSbIr2 after structural relaxation (PBE, Alexandria).

Calculated values
Calculated total energy (eV for the cell shown): -28.91
ΔE_f (raw) (meV/atom): -183

Cell: 3.1304 3.1304 7.5879 Å, 90.00 90.00 90.00°
Space group P4mm (No. 99)
Symmetry-distinct sites (fractional):
Sc (0.0000, 0.0000, 0.0000) [1 per cell]
Sb (0.5000, 0.5000, 0.6613) [1 per cell]
Ir (0.0000, 0.0000, 0.4567) [1 per cell]
Ir (0.5000, 0.5000, 0.2050) [1 per cell]